--- one ---
Below is crystalline Tb6Sm4Tm at its relaxed geometry, with properties calculated at the PBE level.

Calculated values
- Total moment: 0.000 μB per atom
- Mass density: 7.49 Mg/m³
- Symmetry: I-42m, No. 121

a = 8.5323 Å, b = 8.5323 Å, c = 8.5323 Å
α = 127.18°, β = 127.18°, γ = 77.95°
Closest atoms and distances in Å follow each position.
Atoms (fractional coordinates):
Tb: 0.0000 0.5000 0.5000  4 Sm 2.99
Tb: 0.0485 0.5807 0.0000  1 Sm 3.22, 1 Tm 3.51
Tb: 0.4193 0.4193 0.4678  1 Sm 3.22, 1 Tm 3.51
Tb: 0.5000 0.0000 0.5000  4 Sm 2.99
Tb: 0.5807 0.0485 0.0000  1 Sm 3.22, 1 Tm 3.51
Tb: 0.9515 0.9515 0.5322  1 Sm 3.22, 1 Tm 3.51
Sm: 0.2500 0.2500 0.6546  3 Tb 2.99-3.22, 2 Sm 3.33
Sm: 0.4046 0.7500 0.0000  3 Tb 2.99-3.22, 2 Sm 3.33
Sm: 0.5954 0.5954 0.3454  3 Tb 2.99-3.22, 2 Sm 3.33
Sm: 0.7500 0.4046 0.0000  3 Tb 2.99-3.22, 2 Sm 3.33
Tm: 0.0000 0.0000 0.0000  8 Tb 3.51-3.79, 4 Sm 3.66

--- two ---
Below is crystalline Tb6Sm4Tm at its relaxed geometry, with properties calculated at the PBE level.

Calculated values
- Total moment: 0.000 μB per atom
- Mass density: 8.01 Mg/m³
- Symmetry: Cmcm, No. 63

a = 5.6219 Å, b = 5.6219 Å, c = 25.6157 Å
α = 90.00°, β = 90.00°, γ = 117.98°
Closest atoms and distances in Å follow each position.
Atoms (fractional coordinates):
Tb: 0.0000 0.0000 0.0000  6 Sm 3.15-3.43
Tb: 0.0000 0.0000 0.5000  6 Sm 3.15-3.43
Tb: 0.0377 0.9623 0.7500  3 Tm 3.24-3.30, 2 Sm 3.28
Tb: 0.3007 0.6993 0.1066  5 Sm 3.29-3.61, 1 Tm 3.67
Tb: 0.3007 0.6993 0.3934  5 Sm 3.29-3.61, 1 Tm 3.67
Tb: 0.3697 0.6303 0.6832  5 Tb 3.42-3.73, 4 Sm 3.53-3.69, 3 Tm 3.63-3.73
Tb: 0.3697 0.6303 0.8168  5 Tb 3.42-3.73, 4 Sm 3.53-3.69, 3 Tm 3.63-3.73
Tb: 0.6303 0.3697 0.1832  5 Tb 3.42-3.73, 4 Sm 3.53-3.69, 3 Tm 3.63-3.73
Tb: 0.6303 0.3697 0.3168  5 Tb 3.42-3.73, 4 Sm 3.53-3.69, 3 Tm 3.63-3.73
Tb: 0.6993 0.3007 0.6066  5 Sm 3.29-3.61, 1 Tm 3.67
Tb: 0.6993 0.3007 0.8934  5 Sm 3.29-3.61, 1 Tm 3.67
Tb: 0.9623 0.0377 0.2500  3 Tm 3.24-3.30, 2 Sm 3.28
Sm: 0.0419 0.9581 0.6221  6 Tb 3.15-3.53
Sm: 0.0419 0.9581 0.8779  6 Tb 3.15-3.53
Sm: 0.3494 0.6506 0.5445  7 Tb 3.43-3.73, 2 Sm 3.57-3.69
Sm: 0.3494 0.6506 0.9555  7 Tb 3.43-3.73, 2 Sm 3.57-3.69
Sm: 0.6506 0.3494 0.0445  7 Tb 3.43-3.73, 2 Sm 3.57-3.69
Sm: 0.6506 0.3494 0.4555  7 Tb 3.43-3.73, 2 Sm 3.57-3.69
Sm: 0.9581 0.0419 0.1221  6 Tb 3.15-3.53
Sm: 0.9581 0.0419 0.3779  6 Tb 3.15-3.53
Tm: 0.2982 0.7018 0.2500  3 Tb 3.24-3.30
Tm: 0.7018 0.2982 0.7500  3 Tb 3.24-3.30

Which structure is most stable? two, by 29.2 kJ/mol of atoms over the runner-up.

--- one ---
Below is crystalline TbSm3Tm6 at its relaxed geometry, with properties calculated at the PBE level.

Calculated values
- Total moment: 0.000 μB per atom
- Mass density: 8.45 Mg/m³
- Symmetry: Cmc2_1, No. 36

a = 10.9019 Å, b = 10.9019 Å, c = 6.1757 Å
α = 90.00°, β = 90.00°, γ = 119.56°
Closest atoms and distances in Å follow each position.
Atoms (fractional coordinates):
Tb: 0.2068 0.7932 0.5000  7 Tm 3.24-3.44, 3 Sm 3.26-3.52
Tb: 0.7932 0.2068 0.0000  7 Tm 3.24-3.44, 3 Sm 3.26-3.52
Sm: 0.0625 0.2818 0.3123  1 Tb 3.26, 6 Tm 3.27-3.58
Sm: 0.2818 0.0625 0.8123  1 Tb 3.26, 6 Tm 3.27-3.58
Sm: 0.3917 0.6083 0.4191  5 Tm 3.34-3.59, 1 Tb 3.52, 2 Sm 3.66
Sm: 0.6083 0.3917 0.9191  5 Tm 3.34-3.59, 1 Tb 3.52, 2 Sm 3.66
Sm: 0.7182 0.9375 0.3123  1 Tb 3.26, 6 Tm 3.27-3.58
Sm: 0.9375 0.7182 0.8123  1 Tb 3.26, 6 Tm 3.27-3.58
Tm: 0.0389 0.4606 0.7200  5 Tm 3.23-3.42, 2 Tb 3.24-3.43, 2 Sm 3.27-3.53
Tm: 0.0466 0.9534 0.2662  1 Tb 3.35, 4 Sm 3.51-3.58, 2 Tm 3.55
Tm: 0.2823 0.7177 0.9933  4 Tm 3.23-3.36, 1 Sm 3.34, 2 Tb 3.36-3.44
Tm: 0.2878 0.3838 0.8870  6 Tm 3.37-3.76, 4 Sm 3.39-3.59
Tm: 0.3838 0.2878 0.3870  6 Tm 3.37-3.76, 4 Sm 3.39-3.59
Tm: 0.4606 0.0389 0.2200  5 Tm 3.23-3.42, 2 Tb 3.24-3.43, 2 Sm 3.27-3.53
Tm: 0.5394 0.9611 0.7200  5 Tm 3.23-3.42, 2 Tb 3.24-3.43, 2 Sm 3.27-3.53
Tm: 0.6162 0.7122 0.8870  6 Tm 3.37-3.76, 4 Sm 3.39-3.59
Tm: 0.7122 0.6162 0.3870  6 Tm 3.37-3.76, 4 Sm 3.39-3.59
Tm: 0.7177 0.2823 0.4933  4 Tm 3.23-3.36, 1 Sm 3.34, 2 Tb 3.36-3.44
Tm: 0.9534 0.0466 0.7662  1 Tb 3.35, 4 Sm 3.51-3.58, 2 Tm 3.55
Tm: 0.9611 0.5394 0.2200  5 Tm 3.23-3.42, 2 Tb 3.24-3.43, 2 Sm 3.27-3.53

--- two ---
Below is crystalline TbSm3Tm6 at its relaxed geometry, with properties calculated at the PBE level.

Calculated values
- Total moment: 0.000 μB per atom
- Mass density: 8.50 Mg/m³
- Symmetry: P-1, No. 2

a = 6.4690 Å, b = 6.4820 Å, c = 9.4423 Å
α = 90.05°, β = 109.55°, γ = 119.70°
Closest atoms and distances in Å follow each position.
Atoms (fractional coordinates):
Tb: 0.0000 0.0000 0.0000  2 Sm 3.20, 4 Tm 3.23-3.25
Sm: 0.0000 0.5000 0.5000  4 Tm 3.33-3.35, 2 Sm 3.34
Sm: 0.3009 0.9420 0.8088  1 Tb 3.20, 4 Tm 3.30-3.38, 2 Sm 3.34-3.48
Sm: 0.6991 0.0580 0.1912  1 Tb 3.20, 4 Tm 3.30-3.38, 2 Sm 3.34-3.48
Tm: 0.1268 0.6327 0.1867  1 Tb 3.23, 4 Tm 3.31-3.61, 3 Sm 3.33-3.38
Tm: 0.3047 0.1512 0.4490  7 Tm 3.57-3.90, 5 Sm 3.59-3.79, 1 Tb 3.91
Tm: 0.4468 0.5082 0.8129  1 Tb 3.25, 3 Sm 3.30-3.38, 4 Tm 3.31-3.57
Tm: 0.5532 0.4918 0.1871  1 Tb 3.25, 3 Sm 3.30-3.38, 4 Tm 3.31-3.57
Tm: 0.6953 0.8488 0.5510  7 Tm 3.57-3.90, 5 Sm 3.59-3.79, 1 Tb 3.91
Tm: 0.8732 0.3673 0.8133  1 Tb 3.23, 4 Tm 3.31-3.61, 3 Sm 3.33-3.38

Which structure is most stable? one, by 2.1 kJ/mol of atoms over the runner-up.

--- one ---
Below is crystalline TbSm3Tm7 at its relaxed geometry, with properties calculated at the PBE level.

Calculated values
- Total moment: 0.000 μB per atom
- Mass density: 8.47 Mg/m³
- Symmetry: P2/m, No. 10

a = 6.8975 Å, b = 5.4629 Å, c = 9.9155 Å
α = 90.00°, β = 109.76°, γ = 90.00°
Closest atoms and distances in Å follow each position.
Atoms (fractional coordinates):
Tb: 0.0000 0.0000 0.0000  2 Sm 3.45, 10 Tm 3.47-3.78
Sm: 0.2186 0.5000 0.5030  1 Sm 3.00, 2 Tm 3.32-3.34
Sm: 0.5000 0.0000 0.0000  2 Tb 3.45, 10 Tm 3.49-3.78
Sm: 0.7814 0.5000 0.4970  1 Sm 3.00, 2 Tm 3.32-3.34
Tm: 0.0783 0.0000 0.6701  3 Tm 3.17-3.26, 1 Tb 3.49, 4 Sm 3.50
Tm: 0.1800 0.5000 0.8613  5 Tm 3.26-3.53, 2 Tb 3.47, 3 Sm 3.49-3.65
Tm: 0.3519 0.5000 0.2107  3 Tm 3.26-3.53, 2 Sm 3.32-3.34
Tm: 0.5000 0.0000 0.5000  4 Sm 3.36
Tm: 0.6481 0.5000 0.7893  3 Tm 3.26-3.53, 2 Sm 3.32-3.34
Tm: 0.8200 0.5000 0.1387  5 Tm 3.26-3.53, 2 Tb 3.47, 3 Sm 3.49-3.65
Tm: 0.9217 0.0000 0.3299  3 Tm 3.17-3.26, 1 Tb 3.49, 4 Sm 3.50

--- two ---
Below is crystalline TbSm3Tm7 at its relaxed geometry, with properties calculated at the PBE level.

Calculated values
- Total moment: 0.000 μB per atom
- Mass density: 8.19 Mg/m³
- Symmetry: P3m1, No. 156

a = 6.9920 Å, b = 6.9920 Å, c = 8.5824 Å
α = 90.00°, β = 90.00°, γ = 120.00°
Closest atoms and distances in Å follow each position.
Atoms (fractional coordinates):
Tb: 0.0000 0.0000 0.0000  9 Tm 3.44-3.50, 3 Sm 3.54
Sm: 0.1668 0.3336 0.6619  4 Sm 3.49-3.50, 5 Tm 3.52-3.54, 1 Tb 3.54
Sm: 0.1668 0.8332 0.6619  4 Sm 3.49-3.50, 5 Tm 3.52-3.54, 1 Tb 3.54
Sm: 0.6664 0.8332 0.6619  4 Sm 3.49-3.50, 5 Tm 3.52-3.54, 1 Tb 3.54
Tm: 0.0016 0.5008 0.0006  7 Tm 3.43-3.51, 2 Tb 3.50, 2 Sm 3.54
Tm: 0.3320 0.1660 0.3250  1 Tb 3.44, 8 Tm 3.44-3.51, 2 Sm 3.52
Tm: 0.3333 0.6667 0.3244  9 Tm 3.43-3.50, 3 Sm 3.53
Tm: 0.4992 0.5008 0.0006  7 Tm 3.43-3.51, 2 Tb 3.50, 2 Sm 3.54
Tm: 0.4992 0.9984 0.0006  7 Tm 3.43-3.51, 2 Tb 3.50, 2 Sm 3.54
Tm: 0.8340 0.1660 0.3250  1 Tb 3.44, 8 Tm 3.44-3.51, 2 Sm 3.52
Tm: 0.8340 0.6680 0.3250  1 Tb 3.44, 8 Tm 3.44-3.51, 2 Sm 3.52

Which structure is most stable? one, by 2.4 kJ/mol of atoms over the runner-up.

--- one ---
Below is crystalline Tb8Sm2Tm3 at its relaxed geometry, with properties calculated at the PBE level.

Calculated values
- Total moment: 0.000 μB per atom
- Mass density: 7.92 Mg/m³
- Symmetry: C2/m, No. 12

a = 8.6989 Å, b = 8.6989 Å, c = 6.7981 Å
α = 105.56°, β = 105.56°, γ = 63.26°
Closest atoms and distances in Å follow each position.
Atoms (fractional coordinates):
Tb: 0.0646 0.7005 0.3219  5 Tb 3.32-3.65, 2 Tm 3.40-3.47, 2 Sm 3.41-3.50
Tb: 0.0838 0.0838 0.2231  4 Tb 3.26-3.57, 2 Tm 3.41, 1 Sm 3.44
Tb: 0.2995 0.9354 0.6781  5 Tb 3.32-3.65, 2 Tm 3.40-3.47, 2 Sm 3.41-3.50
Tb: 0.3112 0.3112 0.6127  1 Tm 3.12, 1 Sm 3.32, 2 Tb 3.46
Tb: 0.6888 0.6888 0.3873  1 Tm 3.12, 1 Sm 3.32, 2 Tb 3.46
Tb: 0.7005 0.0646 0.3219  5 Tb 3.32-3.65, 2 Tm 3.40-3.47, 2 Sm 3.41-3.50
Tb: 0.9162 0.9162 0.7769  4 Tb 3.26-3.57, 2 Tm 3.41, 1 Sm 3.44
Tb: 0.9354 0.2995 0.6781  5 Tb 3.32-3.65, 2 Tm 3.40-3.47, 2 Sm 3.41-3.50
Sm: 0.2874 0.2874 0.0822  7 Tb 3.32-3.51, 3 Tm 3.51-3.71
Sm: 0.7126 0.7126 0.9178  7 Tb 3.32-3.51, 3 Tm 3.51-3.71
Tm: 0.3287 0.6713 0.0000  1 Tm 3.13, 4 Tb 3.41-3.47
Tm: 0.5000 0.5000 0.5000  6 Tb 3.12-3.40
Tm: 0.6713 0.3287 0.0000  1 Tm 3.13, 4 Tb 3.41-3.47

--- two ---
Below is crystalline Tb8Sm2Tm3 at its relaxed geometry, with properties calculated at the PBE level.

Calculated values
- Total moment: 0.000 μB per atom
- Mass density: 7.97 Mg/m³
- Symmetry: Cmmm, No. 65

a = 10.9348 Å, b = 10.9348 Å, c = 5.5567 Å
α = 90.00°, β = 90.00°, γ = 139.32°
Closest atoms and distances in Å follow each position.
Atoms (fractional coordinates):
Tb: 0.1296 0.8704 0.0000  2 Tm 3.43, 4 Tb 3.58, 2 Sm 3.59
Tb: 0.1833 0.3948 0.5000  1 Tm 3.09, 3 Tb 3.21-3.42
Tb: 0.3362 0.6638 0.0000  2 Sm 3.40, 4 Tb 3.42, 2 Tm 3.74
Tb: 0.3948 0.1833 0.5000  1 Tm 3.09, 3 Tb 3.21-3.42
Tb: 0.6052 0.8167 0.5000  1 Tm 3.09, 3 Tb 3.21-3.42
Tb: 0.6638 0.3362 0.0000  2 Sm 3.40, 4 Tb 3.42, 2 Tm 3.74
Tb: 0.8167 0.6052 0.5000  1 Tm 3.09, 3 Tb 3.21-3.42
Tb: 0.8704 0.1296 0.0000  2 Tm 3.43, 4 Tb 3.58, 2 Sm 3.59
Sm: 0.2408 0.7592 0.5000  8 Tb 3.40-3.59
Sm: 0.7592 0.2408 0.5000  8 Tb 3.40-3.59
Tm: 0.0000 0.0000 0.5000  4 Tb 3.09
Tm: 0.2851 0.2851 0.0000  3 Tm 3.27-3.52, 6 Tb 3.43-3.52
Tm: 0.7149 0.7149 0.0000  3 Tm 3.27-3.52, 6 Tb 3.43-3.52

Which structure is most stable? one, by 1.0 kJ/mol of atoms over the runner-up.